(1)
# Ba2InRh

Crystalline Ba2InRh at its relaxed geometry (PBE, the Alexandria database).

Cell lengths 9.5626, 9.5626, 9.5626 Å; angles 26.12, 26.12, 26.12 degrees
Atoms (fractional coordinates):
Rh 0.5000 0.5000 0.5000
In 0.0000 0.0000 0.0000
Ba 0.2314 0.2314 0.2314
Ba 0.7686 0.7686 0.7686

Computed properties:
The total energy is -14.143 eV per cell. For the calculated density, the calculation gives 5.5 Mg/m³. The formation energy is -0.052 eV/atom.



(2)
# BaIn2Rh

Crystalline BaIn2Rh at its relaxed geometry (PBE, the Alexandria database).

Cell lengths 6.6836, 6.6836, 3.5783 Å; angles 75.72, 75.72, 125.41 degrees
Atoms (fractional coordinates):
In 0.5000 0.0000 0.0000
Ba 0.0000 0.0000 0.5000
Rh 0.5000 0.5000 0.5000
In 0.0000 0.5000 0.0000

Computed properties:
The total energy is -14.120 eV per cell. For the calculated density, the calculation gives 7.1 Mg/m³. The formation energy is 0.158 eV/atom.



(3)
# BaIn3Rh3

Crystalline BaIn3Rh3 at its relaxed geometry (PBE, the Alexandria database).

Cell lengths 7.1060, 7.1060, 8.7481 Å; angles 66.04, 66.04, 60.00 degrees
Atoms (fractional coordinates):
In 0.2736 0.9147 0.3766
Rh 0.8911 0.1413 0.2680
Rh 0.8587 0.3004 0.7320
In 0.0853 0.5649 0.6234
Ba 0.6603 0.6603 0.0192
In 0.9147 0.4351 0.3766
Rh 0.3004 0.1089 0.7320
In 0.5649 0.7264 0.6234
Rh 0.1089 0.8587 0.7320
Ba 0.3397 0.3397 0.9808
In 0.4351 0.2736 0.3766
Rh 0.6996 0.8911 0.2680
In 0.7264 0.0853 0.6234
Rh 0.1413 0.6996 0.2680

Computed properties:
The total energy is -66.342 eV per cell. For the energy relative to the lowest polymorph listed for this composition, the calculation gives 0.000 eV per atom. For the calculated density, the calculation gives 7.8 Mg/m³. The formation energy is -0.140 eV/atom.



(4)
# Ba3In3Rh

Crystalline Ba3In3Rh at its relaxed geometry (PBE, the Alexandria database).

Cell lengths 4.3821, 7.0214, 16.9854 Å; angles 82.81, 82.59, 71.82 degrees
Atoms (fractional coordinates):
Ba 0.6186 0.6818 0.0809
In 0.1903 0.1579 0.4615
Ba 0.3814 0.3182 0.9191
Ba 0.7435 0.7622 0.7509
Rh 0.2033 0.9724 0.6211
Ba 0.2565 0.2378 0.2491
Ba 0.5180 0.3573 0.6066
In 0.9687 0.8242 0.2384
Ba 0.4820 0.6427 0.3934
In 0.0998 0.8797 0.9207
In 0.9002 0.1203 0.0793
In 0.8097 0.8421 0.5385
Rh 0.7967 0.0276 0.3789
In 0.0313 0.1758 0.7616

Computed properties:
The total energy is -48.253 eV per cell. For the calculated density, the calculation gives 5.8 Mg/m³. The formation energy is -0.399 eV/atom.



(5)
# Ba2In2Rh3

Crystalline Ba2In2Rh3 at its relaxed geometry (PBE, the Alexandria database).

Cell lengths 4.5783, 6.4606, 7.4513 Å; angles 121.79, 90.00, 110.75 degrees
Atoms (fractional coordinates):
Rh 0.5000 0.0000 0.0000
Rh 0.4218 0.8435 0.5729
In 0.1349 0.2698 0.2727
Ba 0.8336 0.6672 0.2204
Ba 0.1664 0.3328 0.7796
Rh 0.5782 0.1565 0.4271
In 0.8651 0.7302 0.7273

Computed properties:
The total energy is -33.263 eV per cell. For the calculated density, the calculation gives 7.9 Mg/m³. The formation energy is -0.270 eV/atom.



(6)
# BaIn2Rh

Crystalline BaIn2Rh at its relaxed geometry (PBE, the Alexandria database).

Cell lengths 3.6505, 3.6505, 7.9685 Å; angles 90.00, 90.00, 90.00 degrees
Atoms (fractional coordinates):
In 0.5000 0.5000 0.2985
Rh 0.0000 0.0000 0.4234
In 0.0000 0.0000 0.0570
Ba 0.5000 0.5000 0.7210

Computed properties:
The total energy is -15.570 eV per cell. For the calculated density, the calculation gives 7.3 Mg/m³. The formation energy is -0.205 eV/atom.



(7)
# Ba3InRh3

Crystalline Ba3InRh3 at its relaxed geometry (PBE, the Alexandria database).

Cell lengths 4.5752, 6.3150, 14.6676 Å; angles 90.00, 90.00, 111.24 degrees
Atoms (fractional coordinates):
Rh 0.1810 0.3620 0.2500
Ba 0.2180 0.4360 0.6085
Ba 0.7820 0.5640 0.3915
Rh 0.8190 0.6380 0.7500
In 0.5000 0.0000 0.5000
Rh 0.9300 0.8600 0.9111
In 0.5000 0.0000 0.0000
Rh 0.9300 0.8600 0.5889
Rh 0.0700 0.1400 0.0889
Ba 0.7820 0.5640 0.1085
Ba 0.5011 0.0022 0.7500
Rh 0.0700 0.1400 0.4111
Ba 0.4989 0.9978 0.2500
Ba 0.2180 0.4360 0.8915

Computed properties:
The total energy is -65.140 eV per cell. For the calculated density, the calculation gives 7.0 Mg/m³. The formation energy is -0.287 eV/atom.



(8)
# Ba3In3Rh2

Crystalline Ba3In3Rh2 at its relaxed geometry (PBE, the Alexandria database).

Cell lengths 4.5666, 6.6517, 17.2719 Å; angles 90.00, 90.00, 110.08 degrees
Atoms (fractional coordinates):
Rh 0.7653 0.5305 0.6117
Rh 0.2347 0.4695 0.1117
Ba 0.0567 0.1135 0.6045
In 0.3302 0.6605 0.9632
In 0.3504 0.7007 0.2500
Ba 0.6476 0.2952 0.2500
Ba 0.3524 0.7048 0.7500
Rh 0.2347 0.4695 0.3883
In 0.6698 0.3395 0.4632
Ba 0.0567 0.1135 0.8955
Ba 0.9433 0.8865 0.3955
Ba 0.9433 0.8865 0.1045
In 0.6698 0.3395 0.0368
Rh 0.7653 0.5305 0.8883
In 0.6496 0.2993 0.7500
In 0.3302 0.6605 0.5368

Computed properties:
The total energy is -63.874 eV per cell. For the energy relative to the lowest polymorph listed for this composition, the calculation gives 0.000 eV per atom. For the calculated density, the calculation gives 6.5 Mg/m³. The formation energy is -0.406 eV/atom.